# 1
# Sc3IBr7 | Alexandria | PBE-GGA | relaxed
data_Sc3IBr7
_chemical_formula_sum 'Sc6 I2 Br14'
_cell_length_a 13.606
_cell_length_b 7.846
_cell_length_c 9.603
_cell_angle_alpha 90.00
_cell_angle_beta 132.22
_cell_angle_gamma 90.00
_space_group_name_H-M_alt 'C 1 m 1'
_space_group_IT_number 8
loop_
_space_group_symop_operation_xyz
'x,y,z'
'x,-y,z'
'x+1/2,y+1/2,z'
'x+1/2,-y+1/2,z'
loop_
_atom_site_label
_atom_site_type_symbol
_atom_site_fract_x
_atom_site_fract_y
_atom_site_fract_z
Sc1 Sc 0.000 0.000 0.000
Sc2 Sc 0.252 0.252 0.000
I1 I 0.293 0.000 0.265
Br1 Br 0.014 0.240 0.210
Br2 Br 0.226 0.500 0.770
Br3 Br 0.228 0.000 0.790
Br4 Br 0.274 0.500 0.210
Br5 Br 0.489 0.260 0.791
# Size of the total moment: 2.12 μB per cell
# E: -99.7 eV per cell
# ΔE_f (raw): -1.600 eV per atom



# 2
# BiP2IO | Alexandria | PBE-GGA | relaxed
data_BiP2IO
_chemical_formula_sum 'Bi1 P2 I1 O1'
_cell_length_a 5.386
_cell_length_b 5.386
_cell_length_c 4.218
_cell_angle_alpha 90.00
_cell_angle_beta 90.00
_cell_angle_gamma 90.00
_space_group_name_H-M_alt 'P 4/m m m'
_space_group_IT_number 123
_space_group_name_Hall '-P 4 2'
loop_
_atom_site_label
_atom_site_type_symbol
_atom_site_fract_x
_atom_site_fract_y
_atom_site_fract_z
Bi1 Bi 0.000 0.000 0.000
P1 P 0.000 0.500 0.000
I1 I 0.500 0.500 0.500
O1 O 0.000 0.000 0.500
# Size of the total moment: 0.00 μB per cell
# E: -17.7 eV per cell
# ΔE_f (raw): 0.694 eV per atom
# Energy above the most stable polymorph in this dataset: 10 meV per atom